# CaLa2MnO5 PBE+U relaxed
data_CaLa2MnO5
_chemical_formula_sum 'Ca2 La4 Mn2 O10'
_cell_length_a 5.762
_cell_length_b 6.837
_cell_length_c 6.837
_cell_angle_alpha 90.00
_cell_angle_beta 90.00
_cell_angle_gamma 90.00
_symmetry_space_group_name_H-M 'P 1'
_symmetry_Int_Tables_number 1
_symmetry_space_group_name_Hall 'P 1'
loop_
_atom_site_label
_atom_site_type_symbol
_atom_site_fract_x
_atom_site_fract_y
_atom_site_fract_z
Mn1 Mn 0.000 0.000 0.500
Mn2 Mn 0.000 0.500 0.000
O1 O 0.765 0.640 0.860
O2 O 0.500 0.000 0.000
O3 O 0.235 0.140 0.640
O4 O 0.235 0.860 0.360
O5 O 0.500 0.500 0.500
O6 O 0.765 0.140 0.640
O7 O 0.765 0.360 0.140
O8 O 0.765 0.860 0.360
O9 O 0.235 0.360 0.140
O10 O 0.235 0.640 0.860
La1 La 0.500 0.675 0.175
La2 La 0.500 0.825 0.675
La3 La 0.500 0.175 0.325
La4 La 0.500 0.325 0.825
Ca1 Ca 0.000 0.500 0.500
Ca2 Ca 0.000 0.000 0.000
# Mass density ... 5.6 g cm⁻³
# Total magnetic moment ... 0.33 μB/atom
# Space group ... P4/mbm, No. 127
# Crystal system ... tetragonal
# Raw total energy ... -0.278 hartree per atom